(1)
The following is a DFT calculation (GGA-PBE) of a geometry-optimized Ta2OsRh structure.

POSCAR file:
```
Ta2OsRh
1.0
3.701 0.000 0.000
0.000 4.162 0.000
0.000 0.000 8.452
Ta Os Rh
4 2 2
direct
0.000 0.000 0.000
0.000 0.500 0.275
0.500 0.000 0.275
0.500 0.500 0.000
0.000 0.000 0.528
0.500 0.500 0.528
0.000 0.500 0.747
0.500 0.000 0.747
```

---

(2)
The following is a DFT calculation (GGA-PBE) of a geometry-optimized TaOsRh2 structure.

POSCAR file:
```
TaOsRh2
1.0
2.784 0.000 0.000
0.000 4.446 0.000
0.000 0.000 4.840
Ta Os Rh
1 1 2
direct
0.000 0.000 0.000
0.000 0.500 0.661
0.500 0.000 0.511
0.500 0.500 0.174
```

---

(3)
The following is a DFT calculation (GGA-PBE) of a geometry-optimized TaOsRh2 structure.

POSCAR file:
```
TaOsRh2
1.0
3.294 0.000 0.000
0.000 3.294 0.000
0.000 0.000 5.654
Ta Os Rh
1 1 2
direct
0.000 0.000 0.000
0.500 0.500 0.270
0.000 0.000 0.496
0.500 0.500 0.756
```

---

(4)
The following is a DFT calculation (GGA-PBE) of a geometry-optimized TaOsRh2 structure.

POSCAR file:
```
TaOsRh2
1.0
6.260 0.000 0.000
0.000 6.260 0.000
0.000 0.000 6.260
Ta Os Rh
4 4 8
direct
0.000 0.000 0.000
0.000 0.500 0.500
0.500 0.000 0.500
0.500 0.500 0.000
0.250 0.250 0.750
0.250 0.750 0.250
0.750 0.250 0.250
0.750 0.750 0.750
0.000 0.000 0.500
0.000 0.500 0.000
0.250 0.250 0.250
0.250 0.750 0.750
0.500 0.000 0.000
0.500 0.500 0.500
0.750 0.250 0.750
0.750 0.750 0.250
```

---

(5)
The following is a DFT calculation (GGA-PBE) of a geometry-optimized Ta3OsRh2 structure.

POSCAR file:
```
Ta3OsRh2
1.0
4.264 -6.241 0.000
4.264 6.241 0.000
-2.030 0.000 3.636
Ta Os Rh
6 2 4
direct
0.000 0.500 0.000
0.159 0.323 0.491
0.323 0.159 0.991
0.500 0.000 0.500
0.677 0.841 0.009
0.841 0.677 0.509
0.089 0.911 0.250
0.911 0.089 0.750
0.259 0.741 0.750
0.419 0.581 0.250
0.581 0.419 0.750
0.741 0.259 0.250
```

---

(6)
The following is a DFT calculation (GGA-PBE) of a geometry-optimized Ta2OsRh structure.

POSCAR file:
```
Ta2OsRh
1.0
5.820 0.000 0.000
0.000 5.820 0.000
0.000 0.000 11.342
Ta Os Rh
8 4 4
direct
0.249 0.250 0.125
0.250 0.749 0.375
0.250 0.751 0.875
0.251 0.250 0.625
0.749 0.750 0.625
0.750 0.249 0.875
0.750 0.251 0.375
0.751 0.750 0.125
0.000 0.000 0.500
0.000 0.500 0.750
0.500 0.000 0.250
0.500 0.500 0.000
0.000 0.000 0.000
0.000 0.500 0.250
0.500 0.000 0.750
0.500 0.500 0.500
```

---

The evaluated ΔH_f (0 K) for the records listed, in turn: -0.03, -0.31, -0.10, -0.03, -0.40, 0.97 eV/atom.
The evaluated total moment for the records listed, in turn: 0.0, 0.0, 0.0, 0.0, 0.0, 0.0 Bohr magnetons per cell.
The evaluated VASP energy for the records listed, in turn: -10.602, -9.753, -9.548, -9.473, -10.644, -9.604 eV/atom.